No. 1
Pr3YEr4: optimized geometry, PBE.

Its formation energy is 2.1 kJ/mol of atoms.

The space group is Pmna (No. 53) and the conventional cell measures 10.179, 7.182 and 7.178 Å, with angles of 90.00, 90.00 and 90.00 degrees. The asymmetric unit holds Pr at (0.000, 0.000, 0.000), Pr at (0.250, 0.252, 0.250), Y at (0.000, 0.500, 0.500), Er at (0.000, 0.000, 0.500), Er at (0.000, 0.500, 0.000) and Er at (0.250, 0.250, 0.750).

=====

No. 2
Pr5Y2Er4: optimized geometry, PBE.

Its formation energy is 17.7 kJ/mol of atoms. As for the distance to the lowest polymorph of the same formula: 52 meV/atom.

The space group is Immm (No. 71) and the conventional cell measures 3.542, 9.137 and 23.797 Å, with angles of 90.00, 90.00 and 90.00 degrees. The asymmetric unit holds Pr at (0.000, 0.000, 0.000), Pr at (0.000, 0.301, 0.356), Y at (0.000, 0.500, 0.231), Er at (0.000, 0.184, 0.500) and Er at (0.000, 0.500, 0.096).

=====

No. 3
Pr2Y2Er7: optimized geometry, PBE.

Its formation energy is 14.8 kJ/mol of atoms. As for the distance to the lowest polymorph of the same formula: 0 meV/atom.

The space group is C2/m (No. 12) and the conventional cell measures 11.278, 11.490 and 6.101 Å, with angles of 90.00, 114.32 and 90.00 degrees. The asymmetric unit holds Pr at (0.096, 0.000, 0.309), Y at (0.000, 0.290, 0.000), Er at (0.000, 0.500, 0.500), Er at (0.174, 0.263, 0.679) and Er at (0.232, 0.500, 0.074).

=====

No. 4
PrY3Er5: optimized geometry, PBE.

Its formation energy is 40.3 kJ/mol of atoms. As for the distance to the lowest polymorph of the same formula: 75 meV/atom.

The space group is C2/m (No. 12) and the conventional cell measures 16.800, 7.938 and 12.232 Å, with angles of 90.00, 130.50 and 90.00 degrees. The asymmetric unit holds Pr at (0.237, 0.000, 0.129), Y at (0.000, 0.000, 0.000), Y at (0.000, 0.500, 0.500), Y at (0.121, 0.500, 0.313), Y at (0.174, 0.000, 0.343), Er at (0.000, 0.321, 0.000), Er at (0.065, 0.206, 0.781), Er at (0.121, 0.000, 0.564) and Er at (0.201, 0.500, 0.074).

=====

No. 5
Pr2Y7Er: optimized geometry, PBE.

Its formation energy is 15.2 kJ/mol of atoms. As for the distance to the lowest polymorph of the same formula: 137 meV/atom.

The space group is Cmmm (No. 65) and the conventional cell measures 6.560, 29.102 and 3.529 Å, with angles of 90.00, 90.00 and 90.00 degrees. The asymmetric unit holds Pr at (0.000, 0.207, 0.000), Y at (0.000, 0.000, 0.000), Y at (0.000, 0.315, 0.500), Y at (0.245, 0.403, 0.000) and Er at (0.000, 0.500, 0.500).

=====

No. 6
PrY6Er2: optimized geometry, PBE.

Its formation energy is 2.3 kJ/mol of atoms. As for the distance to the lowest polymorph of the same formula: 0 meV/atom.

The space group is P4_2/mnm (No. 136) and the conventional cell measures 10.720, 10.720 and 5.054 Å, with angles of 90.00, 90.00 and 90.00 degrees. The asymmetric unit holds Pr at (0.000, 0.000, 0.000), Y at (0.000, 0.333, 0.000), Y at (0.167, 0.167, 0.500) and Er at (0.167, 0.833, 0.500).

=====

No. 7
Pr4Y9Er11: optimized geometry, PBE.

Its formation energy is 5.4 kJ/mol of atoms.

The space group is Cmmm (No. 65) and the conventional cell measures 16.714, 25.099 and 3.699 Å, with angles of 90.00, 90.00 and 90.00 degrees. The asymmetric unit holds Pr at (0.154, 0.100, 0.000), Y at (0.000, 0.000, 0.000), Y at (0.102, 0.236, 0.000), Y at (0.138, 0.427, 0.000), Er at (0.000, 0.136, 0.500), Er at (0.000, 0.341, 0.500), Er at (0.000, 0.500, 0.500), Er at (0.214, 0.000, 0.500) and Er at (0.226, 0.319, 0.500).

=====

No. 8
Pr3Y3Er8: optimized geometry, PBE.

Its formation energy is 10.6 kJ/mol of atoms.

The space group is Immm (No. 71) and the conventional cell measures 5.646, 10.847 and 15.014 Å, with angles of 90.00, 90.00 and 90.00 degrees. The asymmetric unit holds Pr at (0.000, 0.000, 0.000), Pr at (0.000, 0.500, 0.314), Y at (0.000, 0.000, 0.500), Y at (0.000, 0.298, 0.500), Er at (0.000, 0.161, 0.279) and Er at (0.000, 0.343, 0.102).

=====

No. 9
PrY3Er2: optimized geometry, PBE.

Its formation energy is 11.7 kJ/mol of atoms. As for the distance to the lowest polymorph of the same formula: 0 meV/atom.

The space group is C2/m (No. 12) and the conventional cell measures 23.161, 3.520 and 10.269 Å, with angles of 90.00, 108.45 and 90.00 degrees. The asymmetric unit holds Pr at (0.183, 0.000, 0.042), Y at (0.060, 0.000, 0.444), Y at (0.067, 0.500, 0.766), Y at (0.196, 0.000, 0.716), Er at (0.069, 0.500, 0.142) and Er at (0.193, 0.000, 0.375).

=====

No. 10
Pr4Y4Er: optimized geometry, PBE.

Its formation energy is 1.7 kJ/mol of atoms. As for the distance to the lowest polymorph of the same formula: 0 meV/atom.

The space group is C2/m (No. 12) and the conventional cell measures 11.406, 5.153 and 10.891 Å, with angles of 90.00, 108.11 and 90.00 degrees. The asymmetric unit holds Pr at (0.000, 0.000, 0.168), Pr at (0.167, 0.500, 0.390), Y at (0.166, 0.500, 0.054), Y at (0.167, 0.500, 0.723) and Er at (0.000, 0.000, 0.500).

=====

No. 11
Pr2Y15Er2: optimized geometry, PBE.

Its formation energy is 29.5 kJ/mol of atoms.

The space group is R-3m (No. 166, hexagonal axes) and the conventional cell measures 11.2338, 11.2338 and 17.7831 Å, with angles of 90.00, 90.00 and 120.00 degrees. The asymmetric unit holds Pr at (0.0000, 0.0000, 0.1151), Y at (0.0000, 0.3030, 0.0000), Y at (0.0000, 0.5000, 0.5000), Y at (0.0169, 0.5084, 0.1367) and Er at (0.0000, 0.0000, 0.3252).

=====

No. 12
PrYEr2: optimized geometry, PBE.

Its formation energy is 10.7 kJ/mol of atoms. As for the distance to the lowest polymorph of the same formula: 101 meV/atom.

The space group is P4/mmm (No. 123) and the conventional cell measures 4.160, 4.160 and 7.568 Å, with angles of 90.00, 90.00 and 90.00 degrees. The asymmetric unit holds Pr at (0.000, 0.000, 0.000), Y at (0.000, 0.000, 0.500) and Er at (0.500, 0.500, 0.257).

=====

No. 13
PrY5Er12: optimized geometry, PBE.

Its formation energy is 2.5 kJ/mol of atoms.

The space group is Cmmm (No. 65) and the conventional cell measures 14.997, 15.027 and 5.000 Å, with angles of 90.00, 90.00 and 90.00 degrees. The asymmetric unit holds Pr at (0.000, 0.000, 0.000), Y at (0.000, 0.168, 0.500), Y at (0.000, 0.334, 0.000), Y at (0.000, 0.500, 0.500), Er at (0.168, 0.334, 0.500), Er at (0.168, 0.500, 0.000), Er at (0.169, 0.000, 0.500) and Er at (0.169, 0.167, 0.000).

=====

No. 14
Pr2YEr9: optimized geometry, PBE.

Its formation energy is 7.3 kJ/mol of atoms. As for the distance to the lowest polymorph of the same formula: 48 meV/atom.

The space group is P6/mmm (No. 191) and the conventional cell measures 11.2276, 11.2276 and 3.4935 Å, with angles of 90.00, 90.00 and 120.00 degrees. The asymmetric unit holds Pr at (0.3333, 0.6667, 0.0000), Y at (0.0000, 0.0000, 0.0000), Er at (0.0000, 0.5000, 0.0000) and Er at (0.1739, 0.3478, 0.5000).

=====

No. 15
PrYEr2: optimized geometry, PBE.

Its formation energy is 1.9 kJ/mol of atoms. As for the distance to the lowest polymorph of the same formula: 10 meV/atom.

The space group is Imm2 (No. 44) and the conventional cell measures 3.657, 11.404 and 6.290 Å, with angles of 90.00, 90.00 and 90.00 degrees. The asymmetric unit holds Pr at (0.000, 0.000, 0.000), Y at (0.000, 0.500, 0.997) and Er at (0.000, 0.248, 0.663).

=====

No. 16
Pr4Y2Er3: optimized geometry, PBE.

Its formation energy is 8.2 kJ/mol of atoms. As for the distance to the lowest polymorph of the same formula: 0 meV/atom.

The space group is C2/c (No. 15) and the conventional cell measures 16.468, 11.790 and 6.219 Å, with angles of 90.00, 96.34 and 90.00 degrees. The asymmetric unit holds Pr at (0.047, 0.141, 0.014), Pr at (0.213, 0.355, 0.845), Y at (0.118, 0.365, 0.318), Er at (0.000, 0.400, 0.750) and Er at (0.168, 0.099, 0.576).

=====

No. 17
PrY6Er4: optimized geometry, PBE.

Its formation energy is 11.3 kJ/mol of atoms. As for the distance to the lowest polymorph of the same formula: 0 meV/atom.

The space group is Cmcm (No. 63) and the conventional cell measures 5.678, 9.727 and 25.771 Å, with angles of 90.00, 90.00 and 90.00 degrees. The asymmetric unit holds Pr at (0.000, 0.176, 0.250), Y at (0.000, 0.156, 0.680), Y at (0.000, 0.177, 0.101), Y at (0.000, 0.490, 0.750), Y at (0.000, 0.500, 0.000), Er at (0.000, 0.163, 0.541) and Er at (0.000, 0.488, 0.621).

=====

No. 18
Pr3Y3Er5: optimized geometry, PBE.

Its formation energy is 77.8 kJ/mol of atoms.

The space group is P-62m (No. 189) and the conventional cell measures 9.6259, 9.6259 and 5.5195 Å, with angles of 90.00, 90.00 and 120.00 degrees. The asymmetric unit holds Pr at (0.0000, 0.6355, 0.0000), Y at (0.0000, 0.4573, 0.5000), Er at (0.0000, 0.2698, 0.0000) and Er at (0.3333, 0.6667, 0.0000).

=====

No. 19
PrY2Er: optimized geometry, PBE.

Its formation energy is 0.3 kJ/mol of atoms. As for the distance to the lowest polymorph of the same formula: 0 meV/atom.

The space group is Cm (No. 8) and the conventional cell measures 24.070, 3.610 and 6.224 Å, with angles of 90.00, 104.97 and 90.00 degrees. The asymmetric unit holds Pr at (0.000, 0.000, 0.000), Pr at (0.249, 0.500, 0.750), Y at (0.124, 0.000, 0.791), Y at (0.125, 0.500, 0.292), Y at (0.375, 0.000, 0.708), Y at (0.375, 0.500, 0.211), Er at (0.250, 0.000, 0.251) and Er at (0.499, 0.000, 0.500).